#one
Computed, not measured: a relaxed YP3F crystal at the PBE-GGA level of DFT.

The structure in POSCAR format:
```
YP3F
1.0
4.422 0.000 0.000
0.000 4.422 0.000
0.000 0.000 4.422
Y P F
1 3 1
Direct
0.000 0.000 0.000
0.000 0.500 0.500
0.500 0.000 0.500
0.500 0.500 0.000
0.500 0.500 0.500
```

Properties
The mass density comes out at 3.9 Mg/m³.

#two
Computed, not measured: a relaxed YP3F crystal at the PBE-GGA level of DFT.

The structure in POSCAR format:
```
YP3F
1.0
5.258 0.000 0.000
0.000 5.258 0.000
0.000 0.000 5.258
Y P F
1 3 1
Direct
0.000 0.000 0.000
0.000 0.000 0.500
0.000 0.500 0.000
0.500 0.000 0.000
0.500 0.500 0.500
```

Properties
The mass density comes out at 2.3 Mg/m³.

What should be chosen as the least stable of them? Choose #two.

#one
Computed, not measured: a relaxed YPF2 crystal at the PBE-GGA level of DFT.

The structure in POSCAR format:
```
YPF2
1.0
1.589 0.917 9.727
-1.589 0.917 9.727
0.000 -1.835 9.727
Y P F
1 1 2
Direct
0.000 0.000 0.000
0.500 0.500 0.500
0.380 0.380 0.380
0.620 0.620 0.620
```

Properties
The mass density comes out at 3.1 Mg/m³.

#two
Computed, not measured: a relaxed YPF2 crystal at the PBE-GGA level of DFT.

The structure in POSCAR format:
```
YPF2
1.0
1.890 1.091 5.811
-1.890 1.091 5.811
0.000 -2.182 5.811
Y P F
1 1 2
Direct
0.000 0.000 0.000
0.500 0.500 0.500
0.299 0.299 0.299
0.701 0.701 0.701
```

Properties
The mass density comes out at 3.6 Mg/m³.

What should be chosen as the least stable of them? Choose #one.

#one
Computed, not measured: a relaxed YPF2 crystal at the PBE-GGA level of DFT.

The structure in POSCAR format:
```
YPF2
1.0
0.000 3.097 3.097
3.097 0.000 3.097
3.097 3.097 0.000
Y P F
1 1 2
Direct
0.000 0.000 0.000
0.500 0.500 0.500
0.250 0.250 0.250
0.750 0.750 0.750
```

Properties
The mass density comes out at 4.4 Mg/m³.

#two
Computed, not measured: a relaxed YPF2 crystal at the PBE-GGA level of DFT.

The structure in POSCAR format:
```
YPF2
1.0
-2.037 2.037 7.869
2.037 -2.037 7.869
2.037 2.037 -7.869
Y P F
2 2 4
Direct
0.000 0.000 0.000
0.750 0.250 0.500
0.250 0.750 0.500
0.500 0.500 0.000
0.083 0.625 0.958
0.375 0.333 0.458
0.667 0.125 0.042
0.875 0.917 0.542
```

Properties
The mass density comes out at 4.0 Mg/m³.

What should be chosen as the least stable of them? Choose #one.